No. 1
Entry from the Alexandria database: a geometry-optimized ErFePd structure (PBE).

Unit cell a=4.724 b=3.340 c=9.430 alpha=90.00 beta=90.00 gamma=135.01
Fractional coordinates of all 6 atoms:
Pd1 0.194 0.389 0.856
Er1 0.694 0.389 0.330
Fe1 0.694 0.389 0.000
Pd2 0.194 0.389 0.144
Er2 0.694 0.389 0.670
Fe2 0.195 0.389 0.500

Properties
The value obtained for the total DFT energy (no corrections) is -6.29 eV per atom. The calculation puts the size of the total moment at 3.55 Bohr magnetons per cell. The symmetry is P4/mmm, No. 123.



No. 2
Entry from the Alexandria database: a geometry-optimized LiSb4Br structure (PBE).

Unit cell a=6.512 b=6.512 c=6.512 alpha=60.00 beta=60.00 gamma=60.00
Fractional coordinates of all 6 atoms:
Sb1 0.389 0.389 0.833
Sb2 0.833 0.389 0.389
Sb3 0.389 0.833 0.389
Br1 0.750 0.750 0.750
Li1 0.000 0.000 0.000
Sb4 0.389 0.389 0.389

Properties
The value obtained for the total DFT energy (no corrections) is -3.38 eV per atom. The calculation puts the size of the total moment at 0.00 Bohr magnetons per cell. The calculation puts the formation energy from raw total energies at -0.04 eV per atom. The symmetry is F-43m, No. 216.



No. 3
Entry from the Alexandria database: a geometry-optimized SrFe3 structure (PBE).

Unit cell a=5.166 b=5.166 c=2.768 alpha=90.00 beta=90.00 gamma=115.76
Fractional coordinates of all 4 atoms:
Fe1 0.500 0.000 0.500
Fe2 0.000 0.500 0.500
Fe3 0.500 0.500 0.000
Sr1 0.000 0.000 0.000

Properties
The value obtained for the total DFT energy (no corrections) is -5.80 eV per atom. The calculation puts the size of the total moment at 7.45 Bohr magnetons per cell. The symmetry is Cmmm, No. 65.



No. 4
Entry from the Alexandria database: a geometry-optimized Sr2TlFe structure (PBE).

Unit cell a=3.789 b=3.789 c=9.002 alpha=90.00 beta=90.00 gamma=90.00
Fractional coordinates of all 4 atoms:
Tl1 0.000 0.000 0.570
Sr1 0.000 0.000 0.930
Sr2 0.500 0.500 0.318
Fe1 0.500 0.500 0.682

Properties
The value obtained for the total DFT energy (no corrections) is -3.28 eV per atom. The calculation puts the size of the total moment at 2.46 Bohr magnetons per cell. The symmetry is P4mm, No. 99.